(1)
Compound: CeSiGe
Source: Alexandria via LeMat-Bulk
Functional: PBE
Structure: relaxed

Magnetization   0.107 μB/atom
Calculated volume   23.84 Å³/atom
ρ   5.59 Mg/m³

Unit cell a=4.0684 b=4.0684 c=9.1094 alpha=102.90 beta=102.90 gamma=90.00
With the nearest neighbours (Å) after each atom.
Positions (direct):
1 Si 0.0770 0.0770 0.1539  1 Ge 2.49, 1 Si 2.66
2 Si 0.9230 0.9230 0.8461  1 Ge 2.49, 1 Si 2.66
3 Ce 0.6116 0.6116 0.2232  1 Ge 2.89, 4 Si 2.94
4 Ce 0.3884 0.3884 0.7768  1 Ge 2.89, 4 Si 2.94
5 Ge 0.7788 0.7788 0.5575  1 Si 2.49
6 Ge 0.2212 0.2212 0.4425  1 Si 2.49

(2)
Compound: CeSiGe
Source: Alexandria via LeMat-Bulk
Functional: PBE
Structure: relaxed

Magnetization   0.059 μB/atom
Calculated volume   20.99 Å³/atom
ρ   6.35 Mg/m³

Unit cell a=7.9419 b=7.9419 c=7.9419 alpha=149.86 beta=149.86 gamma=43.14
With the nearest neighbours (Å) after each atom.
Positions (direct):
1 Ce 0.5820 0.5820 0.0000  6 Si 3.16-3.23, 6 Ge 3.17-3.22
2 Ce 0.3320 0.8320 0.5000  6 Si 3.16-3.23, 6 Ge 3.17-3.22
3 Si 0.0000 0.0000 0.0000  3 Ge 2.42-2.44
4 Si 0.7500 0.2500 0.5000  3 Ge 2.42-2.44
5 Ge 0.1650 0.1650 0.0000  3 Si 2.42-2.44
6 Ge 0.9150 0.4150 0.5000  3 Si 2.42-2.44

Short version: (2), (1), most stable first.

(1)
Compound: CeSiGe
Source: Alexandria via LeMat-Bulk
Functional: PBE
Structure: relaxed

Magnetization   0.000 μB/atom
Calculated volume   20.95 Å³/atom
ρ   6.36 Mg/m³

Unit cell a=4.0795 b=5.9231 c=5.9231 alpha=78.98 beta=69.86 gamma=69.86
With the nearest neighbours (Å) after each atom.
Positions (direct):
1 Ce 0.7482 0.7518 0.7518  6 Si 3.11-3.31, 6 Ge 3.17-3.20
2 Ce 0.2518 0.2482 0.2482  6 Si 3.11-3.31, 6 Ge 3.17-3.20
3 Si 0.0000 0.8445 0.1555  1 Si 2.34, 2 Ge 2.42
4 Si 0.0000 0.1555 0.8445  1 Si 2.34, 2 Ge 2.42
5 Ge 0.5000 0.6714 0.3286  2 Si 2.42, 1 Ge 2.58
6 Ge 0.5000 0.3286 0.6714  2 Si 2.42, 1 Ge 2.58

(2)
Compound: CeSiGe
Source: Alexandria via LeMat-Bulk
Functional: PBE
Structure: relaxed

Magnetization   0.000 μB/atom
Calculated volume   20.85 Å³/atom
ρ   6.39 Mg/m³

Unit cell a=4.0839 b=4.2057 c=4.2057 alpha=120.00 beta=90.00 gamma=90.00
With the nearest neighbours (Å) after each atom.
Positions (direct):
1 Ge 0.1667 0.3333 0.6667  3 Si 2.43
2 Si 0.1666 0.0000 0.0000  3 Ge 2.43
3 Ce 0.6667 0.6667 0.3333  6 Si 3.17, 6 Ge 3.17

Short version: (1), (2), most stable first.

(1)
Compound: Ce3Sn2Ge
Source: Alexandria via LeMat-Bulk
Functional: PBE
Structure: relaxed

Magnetization   0.355 μB/atom
Calculated volume   26.10 Å³/atom
ρ   7.75 Mg/m³

Unit cell a=3.1623 b=5.7653 c=17.1782 alpha=90.00 beta=90.00 gamma=90.00
With the nearest neighbours (Å) after each atom.
Positions (direct):
1 Ce 0.4998 0.5000 0.6567  2 Ge 3.12, 2 Ce 3.16, 6 Sn 3.30-3.36
2 Ce 0.4988 0.0000 0.5000  2 Ce 3.16, 4 Ge 3.29, 4 Sn 3.33
3 Ce 0.4998 0.5000 0.3433  2 Ge 3.12, 2 Ce 3.16, 6 Sn 3.30-3.36
4 Ce 0.5002 0.0000 0.1567  2 Ge 3.12, 2 Ce 3.16, 6 Sn 3.30-3.36
5 Ce 0.5012 0.5000 0.0000  2 Ce 3.16, 4 Ge 3.29, 4 Sn 3.33
6 Ce 0.5002 0.0000 0.8433  2 Ge 3.12, 2 Ce 3.16, 6 Sn 3.30-3.36
7 Sn 0.9995 0.0000 0.6706  2 Sn 3.16, 8 Ce 3.30-3.36
8 Sn 0.9995 0.0000 0.3294  2 Sn 3.16, 8 Ce 3.30-3.36
9 Sn 0.0005 0.5000 0.1706  2 Sn 3.16, 8 Ce 3.30-3.36
10 Sn 0.0005 0.5000 0.8294  2 Sn 3.16, 8 Ce 3.30-3.36
11 Ge 0.9994 0.5000 0.5000  8 Ce 3.12-3.29, 2 Ge 3.16
12 Ge 0.0006 0.0000 0.0000  8 Ce 3.12-3.29, 2 Ge 3.16

(2)
Compound: Ce3Sn2Ge
Source: Alexandria via LeMat-Bulk
Functional: PBE
Structure: relaxed

Magnetization   0.585 μB/atom
Calculated volume   28.51 Å³/atom
ρ   7.09 Mg/m³

Unit cell a=4.4115 b=12.0033 c=12.9222 alpha=90.00 beta=90.00 gamma=90.00
With the nearest neighbours (Å) after each atom.
Positions (direct):
1 Ce 0.2500 0.3884 0.0489  5 Sn 3.18-3.41, 1 Ge 3.22
2 Ce 0.7500 0.6116 0.9511  5 Sn 3.18-3.41, 1 Ge 3.22
3 Ce 0.7500 0.8884 0.4511  5 Sn 3.18-3.41, 1 Ge 3.22
4 Ce 0.2500 0.1116 0.5489  5 Sn 3.18-3.41, 1 Ge 3.22
5 Ce 0.2500 0.7168 0.2372  2 Ge 3.05, 1 Sn 3.16
6 Ce 0.7500 0.2832 0.7628  2 Ge 3.05, 1 Sn 3.16
7 Ce 0.7500 0.2168 0.2628  2 Ge 3.05, 1 Sn 3.16
8 Ce 0.2500 0.7832 0.7372  2 Ge 3.05, 1 Sn 3.16
9 Ce 0.2500 0.4494 0.3830  3 Ge 3.10-3.21, 5 Sn 3.23-3.44
10 Ce 0.7500 0.5506 0.6170  3 Ge 3.10-3.21, 5 Sn 3.23-3.44
11 Ce 0.7500 0.9494 0.1170  3 Ge 3.10-3.21, 5 Sn 3.23-3.44
12 Ce 0.2500 0.0506 0.8830  3 Ge 3.10-3.21, 5 Sn 3.23-3.44
13 Sn 0.2500 0.7052 0.5037  2 Ge 2.86, 3 Ce 3.16-3.19
14 Sn 0.7500 0.2948 0.4963  2 Ge 2.86, 3 Ce 3.16-3.19
15 Sn 0.7500 0.2052 0.9963  2 Ge 2.86, 3 Ce 3.16-3.19
16 Sn 0.2500 0.7948 0.0037  2 Ge 2.86, 3 Ce 3.16-3.19
17 Sn 0.2500 0.9991 0.3064  1 Ge 2.88, 2 Ce 3.18
18 Sn 0.7500 0.0009 0.6936  1 Ge 2.88, 2 Ce 3.18
19 Sn 0.7500 0.4991 0.1936  1 Ge 2.88, 2 Ce 3.18
20 Sn 0.2500 0.5009 0.8064  1 Ge 2.88, 2 Ce 3.18
21 Ge 0.2500 0.1314 0.1200  3 Sn 2.86-2.88, 4 Ce 3.05-3.10
22 Ge 0.7500 0.8686 0.8800  3 Sn 2.86-2.88, 4 Ce 3.05-3.10
23 Ge 0.7500 0.6314 0.3800  3 Sn 2.86-2.88, 4 Ce 3.05-3.10
24 Ge 0.2500 0.3686 0.6200  3 Sn 2.86-2.88, 4 Ce 3.05-3.10

Short version: (1), (2), most stable first.